ScTe2OsN after structural relaxation, computed with PBE.

a b c (Å): 5.535 5.535 3.796
angles (deg): 90.00 90.00 90.00
Site moments in Bohr magnetons follow the coordinates.
Positions (direct):
Os1 0.500 0.500 0.500  1.96
Te1 0.000 0.500 0.000  -0.02
Te2 0.500 0.000 0.000  -0.02
N1 0.000 0.000 0.500  0.47
Sc1 0.000 0.000 0.000  0.07

Summary:
**Calculated total energy**: -26.82 eV for the cell shown
**Total moment**: 2.8 μB/cell
**Polymorph energy (0 for the lowest one)**: 1081 meV/atom
**Formation energy from raw total energies**: 1.071 eV/atom